1.
A relaxed structure of NdMgSi2. Source: the Alexandria database, functional PBE.

Results
Magnetic moment = 0.000 μB/f.u.
Offset from the most stable computed form = 0 meV/atom

Cell: 18.6427 18.6427 18.6427 Å, 166.88 166.88 18.60°
Fractional coordinates of all 16 atoms:
Nd  0.2972  0.5472  0.7500
Nd  0.4528  0.7028  0.7500
Nd  0.5472  0.2972  0.2500
Nd  0.7028  0.4528  0.2500
Mg  0.1250  0.3750  0.7500
Mg  0.3750  0.1250  0.2500
Mg  0.6250  0.8750  0.7500
Mg  0.8750  0.6250  0.2500
Si  0.0142  0.7642  0.2500
Si  0.0773  0.8273  0.2500
Si  0.1727  0.9227  0.2500
Si  0.2358  0.9858  0.2500
Si  0.7642  0.0142  0.7500
Si  0.8273  0.0773  0.7500
Si  0.9227  0.1727  0.7500
Si  0.9858  0.2358  0.7500

2.
A relaxed structure of Pm6Sm2Sc. Source: the Alexandria database, functional PBE.

Results
Formation energy from the elements = 0.16 eV per atom
Magnetic moment = 0.000 μB/f.u.
Offset from the most stable computed form = 64 meV/atom

Cell: 6.2128 6.2128 8.6375 Å, 103.82 103.82 70.98°
Fractional coordinates of all 9 atoms:
Pm  0.1684  0.1684  0.5871
Pm  0.1820  0.7045  0.7905
Pm  0.2955  0.8180  0.2095
Pm  0.7045  0.1820  0.7905
Pm  0.8180  0.2955  0.2095
Pm  0.8316  0.8316  0.4129
Sm  0.2770  0.2770  0.0434
Sm  0.7230  0.7230  0.9566
Sc  0.5000  0.5000  0.5000

3.
A relaxed structure of Sr2Sn4HgAu3. Source: the Alexandria database, functional PBE.

Results
Formation energy from the elements = -0.50 eV per atom
Magnetic moment = 0.000 μB/f.u.

Cell: 4.7685 4.7685 11.6641 Å, 90.00 90.00 90.00°
Fractional coordinates of all 10 atoms:
Sr  0.0000  0.5000  0.2448
Sr  0.5000  0.0000  0.7552
Sn  0.0000  0.0000  0.5000
Sn  0.0000  0.5000  0.8637
Sn  0.5000  0.0000  0.1363
Sn  0.5000  0.5000  0.5000
Hg  0.5000  0.5000  0.0000
Au  0.0000  0.0000  0.0000
Au  0.0000  0.5000  0.6334
Au  0.5000  0.0000  0.3666

4.
A relaxed structure of Na3Fe. Source: the Alexandria database, functional PBE.

Results
Formation energy from the elements = 0.71 eV per atom
Magnetic moment = 3.090 μB/f.u.

Cell: 4.7515 4.7515 4.7515 Å, 90.00 90.00 90.00°
Fractional coordinates of all 4 atoms:
Na  0.0000  0.0000  0.5000
Na  0.0000  0.5000  0.0000
Na  0.5000  0.0000  0.0000
Fe  0.5000  0.5000  0.5000

5.
A relaxed structure of MgGaAg2Te4. Source: the Alexandria database, functional PBE.

Results
Electronic total energy = -3.185 eV/atom
Magnetic moment = 0.000 μB/f.u.

Cell: 7.7781 7.7781 6.4026 Å, 114.30 114.30 108.80°
Fractional coordinates of all 8 atoms:
Mg  0.0000  0.0000  0.0000
Ga  0.2502  0.7498  0.5000
Ag  0.5004  0.4996  0.0000
Ag  0.7503  0.2497  0.5000
Te  0.1326  0.3905  0.5054
Te  0.3733  0.1143  0.9831
Te  0.6095  0.8674  0.4946
Te  0.8857  0.6267  0.0169

6.
A relaxed structure of Zn3CuBr. Source: the Alexandria database, functional PBE.

Results
Magnetic moment = 0.000 μB/f.u.
Offset from the most stable computed form = 872 meV/atom

Cell: 5.2290 5.2290 5.2290 Å, 90.00 90.00 90.00°
Fractional coordinates of all 5 atoms:
Zn  0.0000  0.0000  0.5000
Zn  0.0000  0.5000  0.0000
Zn  0.5000  0.0000  0.0000
Cu  0.5000  0.5000  0.5000
Br  0.0000  0.0000  0.0000

7.
A relaxed structure of RbSiNO2. Source: the Alexandria database, functional PBE.

Results
Electronic total energy = -5.632 eV/atom
Magnetic moment = 1.974 μB/f.u.

Cell: 3.7445 3.7445 3.9753 Å, 90.00 90.00 90.00°
Fractional coordinates of all 5 atoms:
Rb  0.0000  0.0000  0.0000
Si  0.5000  0.5000  0.5000
N  0.5000  0.5000  0.0000
O  0.0000  0.5000  0.5000
O  0.5000  0.0000  0.5000

8.
A relaxed structure of Np3SbO3. Source: the Alexandria database, functional PBE.

Results
Electronic total energy = -10.260 eV/atom
Magnetic moment = 4.202 μB/f.u.

Cell: 8.6269 3.8470 8.9020 Å, 90.00 110.37 90.00°
Fractional coordinates of all 14 atoms:
Np  0.0635  0.2500  0.1900
Np  0.2975  0.7500  0.5693
Np  0.3284  0.2500  0.9336
Np  0.6716  0.7500  0.0664
Np  0.7025  0.2500  0.4307
Np  0.9365  0.7500  0.8100
Sb  0.3925  0.7500  0.2445
Sb  0.6075  0.2500  0.7555
O  0.0665  0.2500  0.9187
O  0.1750  0.2500  0.4637
O  0.2209  0.7500  0.7880
O  0.7791  0.2500  0.2120
O  0.8250  0.7500  0.5363
O  0.9335  0.7500  0.0813